TeAsW2: relaxed, GGA-PBE.

POSCAR file:
```
TeAsW2
1.0
3.7721 0.0000 0.0000
0.0000 4.1815 0.0000
-0.4968 0.0000 5.4525
Te As W
1 1 2
direct
0.0000 0.0000 0.0000 Te
0.5000 0.0000 0.5000 As
0.2361 0.5000 0.6610 W
0.7639 0.5000 0.3390 W
```

Values from the calculation:
E_form (uncorrected) = 2.94 eV/f.u.
Density of states at the Fermi level = 2.09 states/eV/cell
Offset from the most stable computed form = 553 meV/atom
Energy = -7.688 eV/atom

***

Ac6Pr3Mg: relaxed, GGA-PBE.

POSCAR file:
```
Ac6Pr3Mg
1.0
10.3948 0.0000 0.0000
0.0000 6.1782 0.0000
-4.9754 0.0000 12.6594
Ac Pr Mg
12 6 2
direct
0.0356 0.2500 0.4288 Ac
0.1697 0.7500 0.1594 Ac
0.2554 0.2500 0.0038 Ac
0.3471 0.2500 0.3255 Ac
0.3526 0.7500 0.8013 Ac
0.4234 0.2500 0.6340 Ac
0.5766 0.7500 0.3660 Ac
0.6474 0.2500 0.1987 Ac
0.6529 0.7500 0.6745 Ac
0.7446 0.7500 0.9962 Ac
0.8303 0.2500 0.8406 Ac
0.9644 0.7500 0.5712 Ac
0.0330 0.7500 0.8606 Pr
0.1049 0.2500 0.7192 Pr
0.2659 0.7500 0.4701 Pr
0.7341 0.2500 0.5299 Pr
0.8951 0.7500 0.2808 Pr
0.9670 0.2500 0.1394 Pr
0.4620 0.7500 0.0818 Mg
0.5380 0.2500 0.9182 Mg
```

Values from the calculation:
Density of states at the Fermi level = 28.70 states/eV/cell
Energy = -4.036 eV/atom

***

NdHoCrN3: relaxed, GGA-PBE.

POSCAR file:
```
NdHoCrN3
1.0
7.3539 0.0000 0.0000
0.0000 3.4217 0.0000
-1.1781 0.0000 7.3165
Nd Ho Cr N
2 2 2 6
direct
0.1831 0.2500 0.1801 Nd
0.8169 0.7500 0.8199 Nd
0.1680 0.2500 0.6344 Ho
0.8320 0.7500 0.3656 Ho
0.4019 0.7500 0.9178 Cr
0.5981 0.2500 0.0822 Cr
0.1482 0.7500 0.4076 N
0.1536 0.7500 0.8768 N
0.4809 0.2500 0.8374 N
0.5191 0.7500 0.1626 N
0.8464 0.2500 0.1232 N
0.8518 0.2500 0.5924 N
```

Values from the calculation:
E_form (uncorrected) = -6.63 eV/f.u.
Density of states at the Fermi level = 4.89 states/eV/cell
Energy = -8.429 eV/atom

***

PrAlGa4: relaxed, GGA-PBE.

POSCAR file:
```
PrAlGa4
1.0
4.2762 0.0000 0.0000
0.0000 6.7304 0.0000
0.0000 0.0000 8.4873
Pr Al Ga
2 2 8
direct
0.0000 0.0000 0.0000 Pr
0.5000 0.5000 0.5000 Pr
0.0000 0.5000 0.0000 Al
0.5000 0.0000 0.5000 Al
0.0000 0.2020 0.3393 Ga
0.0000 0.2020 0.6607 Ga
0.0000 0.7980 0.3393 Ga
0.0000 0.7980 0.6607 Ga
0.5000 0.2980 0.1607 Ga
0.5000 0.2980 0.8393 Ga
0.5000 0.7020 0.1607 Ga
0.5000 0.7020 0.8393 Ga
```

Values from the calculation:
Density of states at the Fermi level = 4.78 states/eV/cell
Offset from the most stable computed form = 0 meV/atom
Energy = -3.764 eV/atom

***

TbBe2Ir: relaxed, GGA-PBE.

POSCAR file:
```
TbBe2Ir
1.0
3.8848 0.0000 0.0000
-1.9424 3.3644 0.0000
0.0000 0.0000 9.6687
Tb Be Ir
2 4 2
direct
0.3333 0.6667 0.2500 Tb
0.6667 0.3333 0.7500 Tb
0.3333 0.6667 0.5455 Be
0.3333 0.6667 0.9545 Be
0.6667 0.3333 0.0455 Be
0.6667 0.3333 0.4545 Be
0.0000 0.0000 0.0000 Ir
0.0000 0.0000 0.5000 Ir
```

Values from the calculation:
Density of states at the Fermi level = 4.25 states/eV/cell
Offset from the most stable computed form = 14 meV/atom
Energy = -5.735 eV/atom

***

CaHBr: relaxed, GGA-PBE.

POSCAR file:
```
CaHBr
1.0
11.1714 0.0000 0.0000
0.0000 3.8127 0.0000
-2.7589 0.0000 6.9192
Ca H Br
4 4 4
direct
0.0000 0.0000 0.0000 Ca
0.2463 0.5000 0.3547 Ca
0.5000 0.5000 0.0000 Ca
0.7463 0.0000 0.3547 Ca
0.1160 0.5000 0.0329 H
0.1580 0.0000 0.2700 H
0.6160 0.0000 0.0329 H
0.6580 0.5000 0.2700 H
0.3209 0.0000 0.7084 Br
0.4380 0.0000 0.2786 Br
0.8209 0.5000 0.7084 Br
0.9380 0.5000 0.2786 Br
```

Values from the calculation:
Density of states at the Fermi level = 0.00 states/eV/cell
Energy = -3.580 eV/atom

***

AcSm2DyBi4: relaxed, GGA-PBE.

POSCAR file:
```
AcSm2DyBi4
1.0
8.0043 0.0000 0.0000
0.0000 4.6277 0.0000
-2.6640 0.0000 7.5583
Ac Sm Dy Bi
1 2 1 4
direct
0.0000 0.0000 0.0000 Ac
0.0000 0.5000 0.5000 Sm
0.5000 0.0000 0.5000 Sm
0.5000 0.5000 0.0000 Dy
0.2595 0.0000 0.7479 Bi
0.2638 0.5000 0.2600 Bi
0.7362 0.5000 0.7400 Bi
0.7405 0.0000 0.2521 Bi
```

Values from the calculation:
Density of states at the Fermi level = 1.06 states/eV/cell
Energy = -5.110 eV/atom

***

KZrW2: relaxed, GGA-PBE.

POSCAR file:
```
KZrW2
1.0
2.8984 0.0000 0.0000
0.0000 4.3199 0.0000
-1.0941 0.0000 8.3409
K Zr W
1 1 2
direct
0.0000 0.0000 0.0000 K
0.2214 0.5000 0.6179 Zr
0.5322 0.0000 0.4381 W
0.8125 0.5000 0.3164 W
```

Values from the calculation:
Density of states at the Fermi level = 3.38 states/eV/cell
Offset from the most stable computed form = 134 meV/atom
Energy = -8.070 eV/atom

***

Zn2FeCu: relaxed, GGA-PBE.

POSCAR file:
```
Zn2FeCu
1.0
2.6615 0.0000 0.0000
0.0000 4.3256 0.0000
0.0000 0.0000 4.4676
Zn Fe Cu
2 1 1
direct
0.0000 0.0000 0.0000 Zn
0.0000 0.5000 0.3885 Zn
0.5000 0.0000 0.4998 Fe
0.5000 0.5000 0.8769 Cu
```

Values from the calculation:
Density of states at the Fermi level = 2.60 states/eV/cell
Energy = -3.752 eV/atom

***

SmHoZn2: relaxed, GGA-PBE.

POSCAR file:
```
SmHoZn2
1.0
3.6194 0.0000 0.0000
-1.8097 3.1345 0.0000
0.0000 0.0000 27.0420
Sm Ho Zn
3 3 6
direct
0.0000 0.0000 0.0000 Sm
0.3333 0.6667 0.6667 Sm
0.6667 0.3333 0.3333 Sm
0.0000 0.0000 0.5000 Ho
0.3333 0.6667 0.1667 Ho
0.6667 0.3333 0.8333 Ho
0.0000 0.0000 0.2477 Zn
0.0000 0.0000 0.7523 Zn
0.3333 0.6667 0.4190 Zn
0.3333 0.6667 0.9143 Zn
0.6667 0.3333 0.0857 Zn
0.6667 0.3333 0.5810 Zn
```

Values from the calculation:
Density of states at the Fermi level = 15.39 states/eV/cell
Offset from the most stable computed form = 220 meV/atom
Energy = -3.070 eV/atom

***

Ta2MnW: relaxed, GGA-PBE.

POSCAR file:
```
Ta2MnW
1.0
2.9609 0.0000 0.0000
-1.4804 2.5642 0.0000
0.0000 0.0000 25.7467
Ta Mn W
6 3 3
direct
0.0000 0.0000 0.2424 Ta
0.0000 0.0000 0.7576 Ta
0.3333 0.6667 0.4243 Ta
0.3333 0.6667 0.9091 Ta
0.6667 0.3333 0.0909 Ta
0.6667 0.3333 0.5757 Ta
0.0000 0.0000 0.5000 Mn
0.3333 0.6667 0.1667 Mn
0.6667 0.3333 0.8333 Mn
0.0000 0.0000 0.0000 W
0.3333 0.6667 0.6667 W
0.6667 0.3333 0.3333 W
```

Values from the calculation:
Density of states at the Fermi level = 8.25 states/eV/cell
Energy = -11.175 eV/atom

***

NaLi3In2: relaxed, GGA-PBE.

POSCAR file:
```
NaLi3In2
1.0
5.9735 0.0000 0.0000
-2.9868 5.1732 0.0000
0.0000 0.0000 4.5519
Na Li In
1 3 2
direct
0.0000 0.0000 0.0000 Na
0.0000 0.5000 0.0000 Li
0.5000 0.0000 0.0000 Li
0.5000 0.5000 0.0000 Li
0.3333 0.6667 0.5000 In
0.6667 0.3333 0.5000 In
```

Values from the calculation:
Density of states at the Fermi level = 2.45 states/eV/cell
Energy = -2.160 eV/atom

***

LiTbSnHg: relaxed, GGA-PBE.

POSCAR file:
```
LiTbSnHg
1.0
7.2363 0.0000 0.0000
0.0000 7.2363 0.0000
0.0000 0.0000 7.2363
Li Tb Sn Hg
4 4 4 4
direct
0.0000 0.0000 0.0000 Li
0.0000 0.5000 0.5000 Li
0.5000 0.0000 0.5000 Li
0.5000 0.5000 0.0000 Li
0.0000 0.0000 0.5000 Tb
0.0000 0.5000 0.0000 Tb
0.5000 0.0000 0.0000 Tb
0.5000 0.5000 0.5000 Tb
0.2500 0.2500 0.7500 Sn
0.2500 0.7500 0.2500 Sn
0.7500 0.2500 0.2500 Sn
0.7500 0.7500 0.7500 Sn
0.2500 0.2500 0.2500 Hg
0.2500 0.7500 0.7500 Hg
0.7500 0.2500 0.7500 Hg
0.7500 0.7500 0.2500 Hg
```

Values from the calculation:
Density of states at the Fermi level = 5.07 states/eV/cell
Energy = -3.236 eV/atom

***

GdPuIr2: relaxed, GGA-PBE.

POSCAR file:
```
GdPuIr2
1.0
6.8913 0.0000 0.0000
0.0000 6.8913 0.0000
0.0000 0.0000 6.8913
Gd Pu Ir
4 4 8
direct
0.0000 0.0000 0.0000 Gd
0.0000 0.5000 0.5000 Gd
0.5000 0.0000 0.5000 Gd
0.5000 0.5000 0.0000 Gd
0.0000 0.0000 0.5000 Pu
0.0000 0.5000 0.0000 Pu
0.5000 0.0000 0.0000 Pu
0.5000 0.5000 0.5000 Pu
0.2500 0.2500 0.2500 Ir
0.2500 0.2500 0.7500 Ir
0.2500 0.7500 0.2500 Ir
0.2500 0.7500 0.7500 Ir
0.7500 0.2500 0.2500 Ir
0.7500 0.2500 0.7500 Ir
0.7500 0.7500 0.2500 Ir
0.7500 0.7500 0.7500 Ir
```

Values from the calculation:
Density of states at the Fermi level = 31.34 states/eV/cell
Offset from the most stable computed form = 0 meV/atom
Energy = -12.082 eV/atom

***

Sr6As2PbBr3: relaxed, GGA-PBE.

POSCAR file:
```
Sr6As2PbBr3
1.0
10.6634 -2.2257 0.0000
10.6634 2.2257 0.0000
-1.8783 0.0000 9.1839
Sr As Pb Br
6 2 1 3
direct
0.0241 0.0241 0.2675 Sr
0.3169 0.3169 0.4225 Sr
0.3372 0.3372 0.8876 Sr
0.6628 0.6628 0.1124 Sr
0.6831 0.6831 0.5775 Sr
0.9759 0.9759 0.7325 Sr
0.1693 0.1693 0.3460 As
0.8307 0.8307 0.6540 As
0.5000 0.5000 0.0000 Pb
0.1803 0.1803 0.8438 Br
0.5000 0.5000 0.5000 Br
0.8197 0.8197 0.1562 Br
```

Values from the calculation:
E_form (uncorrected) = -16.56 eV/f.u.
Density of states at the Fermi level = 2.64 states/eV/cell
Energy = -3.723 eV/atom

***

NaBPd2W: relaxed, GGA-PBE.

POSCAR file:
```
NaBPd2W
1.0
4.7823 0.0000 0.0000
0.0000 4.7823 0.0000
0.0000 0.0000 5.6277
Na B Pd W
1 1 2 1
direct
0.0000 0.0000 0.0000 Na
0.5000 0.5000 0.0000 B
0.0000 0.5000 0.5000 Pd
0.5000 0.0000 0.5000 Pd
0.0000 0.0000 0.5000 W
```

Values from the calculation:
Density of states at the Fermi level = 4.02 states/eV/cell
Energy = -4.142 eV/atom

***

RbCu12P6: relaxed, GGA-PBE.

POSCAR file:
```
RbCu12P6
1.0
5.5627 3.2116 2.7260
-5.5627 3.2116 2.7260
0.0000 -6.4233 2.7260
Rb Cu P
1 12 6
direct
0.0000 0.0000 0.0000 Rb
0.1647 0.5000 0.8353 Cu
0.1647 0.8353 0.5000 Cu
0.1993 0.4507 0.4507 Cu
0.4507 0.1993 0.4507 Cu
0.4507 0.4507 0.1993 Cu
0.5000 0.1647 0.8353 Cu
0.5000 0.8353 0.1647 Cu
0.5493 0.5493 0.8007 Cu
0.5493 0.8007 0.5493 Cu
0.8007 0.5493 0.5493 Cu
0.8353 0.1647 0.5000 Cu
0.8353 0.5000 0.1647 Cu
0.2010 0.2010 0.6080 P
0.2010 0.6080 0.2010 P
0.3920 0.7990 0.7990 P
0.6080 0.2010 0.2010 P
0.7990 0.3920 0.7990 P
0.7990 0.7990 0.3920 P
```

Values from the calculation:
Density of states at the Fermi level = 7.90 states/eV/cell
Energy = -4.401 eV/atom

***

ScSiIr2: relaxed, GGA-PBE.

POSCAR file:
```
ScSiIr2
1.0
5.8652 0.0000 0.0000
0.0000 6.7137 0.0000
0.0000 0.0000 3.0233
Sc Si Ir
2 2 4
direct
0.0000 0.0000 0.0000 Sc
0.5000 0.5000 0.0000 Sc
0.0000 0.5000 0.0000 Si
0.5000 0.0000 0.0000 Si
0.2500 0.2500 0.5000 Ir
0.2500 0.7500 0.5000 Ir
0.7500 0.2500 0.5000 Ir
0.7500 0.7500 0.5000 Ir
```

Values from the calculation:
E_form (uncorrected) = -2.83 eV/f.u.
Density of states at the Fermi level = 2.81 states/eV/cell
Energy = -8.076 eV/atom

***

CaIrPb2: relaxed, GGA-PBE.

POSCAR file:
```
CaIrPb2
1.0
7.2754 0.0000 0.0000
0.0000 7.2754 0.0000
0.0000 0.0000 7.2754
Ca Ir Pb
4 4 8
direct
0.0000 0.0000 0.0000 Ca
0.0000 0.5000 0.5000 Ca
0.5000 0.0000 0.5000 Ca
0.5000 0.5000 0.0000 Ca
0.2500 0.2500 0.7500 Ir
0.2500 0.7500 0.2500 Ir
0.7500 0.2500 0.2500 Ir
0.7500 0.7500 0.7500 Ir
0.0000 0.0000 0.5000 Pb
0.0000 0.5000 0.0000 Pb
0.2500 0.2500 0.2500 Pb
0.2500 0.7500 0.7500 Pb
0.5000 0.0000 0.0000 Pb
0.5000 0.5000 0.5000 Pb
0.7500 0.2500 0.7500 Pb
0.7500 0.7500 0.2500 Pb
```

Values from the calculation:
Density of states at the Fermi level = 9.65 states/eV/cell
Energy = -4.494 eV/atom

***

Ba2UGaTe5: relaxed, GGA-PBE.

POSCAR file:
```
Ba2UGaTe5
1.0
2.3228 -10.2067 0.0000
2.3228 10.2067 0.0000
0.0000 0.0000 14.0501
Ba U Ga Te
4 2 2 10
direct
0.1188 0.8812 0.5000 Ba
0.1238 0.8762 0.1349 Ba
0.8762 0.1238 0.6349 Ba
0.8812 0.1188 0.0000 Ba
0.2027 0.7973 0.8320 U
0.7973 0.2027 0.3320 U
0.4400 0.5600 0.2536 Ga
0.5600 0.4400 0.7536 Ga
0.0473 0.9527 0.8551 Te
0.2952 0.7048 0.4793 Te
0.3113 0.6887 0.1797 Te
0.3525 0.6475 0.8193 Te
0.4988 0.5012 0.0861 Te
0.5012 0.4988 0.5861 Te
0.6475 0.3525 0.3193 Te
0.6887 0.3113 0.6797 Te
0.7048 0.2952 0.9793 Te
0.9527 0.0473 0.3551 Te
```

Values from the calculation:
E_form (uncorrected) = -9.53 eV/f.u.
Density of states at the Fermi level = 13.59 states/eV/cell
Energy = -4.822 eV/atom

***

Gd2HoI: relaxed, GGA-PBE.

POSCAR file:
```
Gd2HoI
1.0
3.6719 0.0000 0.0000
0.0000 3.6719 0.0000
0.0000 0.0000 9.4853
Gd Ho I
2 1 1
direct
0.0000 0.0000 0.2452 Gd
0.0000 0.0000 0.7548 Gd
0.5000 0.5000 0.5000 Ho
0.5000 0.5000 0.0000 I
```

Values from the calculation:
E_form (uncorrected) = -1.30 eV/f.u.
Density of states at the Fermi level = 6.29 states/eV/cell
Offset from the most stable computed form = 40 meV/atom
Energy = -8.898 eV/atom

***

Tb2TlI2: relaxed, GGA-PBE.

POSCAR file:
```
Tb2TlI2
1.0
4.1873 0.0000 0.0000
-2.0937 3.6263 0.0000
0.0000 0.0000 36.4101
Tb Tl I
6 3 6
direct
0.0000 0.0000 0.1126 Tb
0.0000 0.0000 0.8874 Tb
0.3333 0.6667 0.5540 Tb
0.3333 0.6667 0.7793 Tb
0.6667 0.3333 0.2207 Tb
0.6667 0.3333 0.4460 Tb
0.0000 0.0000 0.5000 Tl
0.3333 0.6667 0.1667 Tl
0.6667 0.3333 0.8333 Tl
0.0000 0.0000 0.2755 I
0.0000 0.0000 0.7245 I
0.3333 0.6667 0.3912 I
0.3333 0.6667 0.9421 I
0.6667 0.3333 0.0579 I
0.6667 0.3333 0.6088 I
```

Values from the calculation:
E_form (uncorrected) = -4.51 eV/f.u.
Density of states at the Fermi level = 5.20 states/eV/cell
Energy = -3.848 eV/atom

***

TlTeClO4: relaxed, GGA-PBE.

POSCAR file:
```
TlTeClO4
1.0
4.9050 -3.6895 0.0000
4.9050 3.6895 0.0000
-4.3033 0.0000 8.0053
Tl Te Cl O
2 2 2 8
direct
0.1776 0.1776 0.2161 Tl
0.8224 0.8224 0.7839 Tl
0.3765 0.3765 0.6873 Te
0.6235 0.6235 0.3127 Te
0.1350 0.1350 0.9193 Cl
0.8650 0.8650 0.0807 Cl
0.1604 0.5490 0.8018 O
0.2070 0.2070 0.4733 O
0.4414 0.4414 0.3236 O
0.4510 0.8396 0.1982 O
0.5490 0.1604 0.8018 O
0.5586 0.5586 0.6764 O
0.7930 0.7930 0.5267 O
0.8396 0.4510 0.1982 O
```

Values from the calculation:
E_form (uncorrected) = -4.43 eV/f.u.
Energy = -4.517 eV/atom

***

GaCuGe: relaxed, GGA-PBE.

POSCAR file:
```
GaCuGe
1.0
3.7595 0.0000 0.0000
0.0000 3.7595 0.0000
0.0000 0.0000 6.9117
Ga Cu Ge
2 2 2
direct
0.2500 0.7500 0.0000 Ga
0.7500 0.2500 0.0000 Ga
0.2500 0.2500 0.2594 Cu
0.7500 0.7500 0.7406 Cu
0.2500 0.2500 0.6185 Ge
0.7500 0.7500 0.3815 Ge
```

Values from the calculation:
Density of states at the Fermi level = 2.27 states/eV/cell
Energy = -3.778 eV/atom